Compound: Eu
Source: the Alexandria database
Functional: GGA-PBE
Structure: relaxed

Results
Relative energy among the computed polymorphs in kJ per mole of atoms: 0.0
Calculated density in Mg/m³: 6.0
M_tot in μB per formula unit: 7.5

The structure in CIF format:
```
data_Eu
_chemical_formula_sum 'Eu2'
_space_group_name_H-M_alt 'I 4/m m m'
_space_group_IT_number 139
_space_group_name_Hall '-I 4 2'
_cell_length_a 3.9131
_cell_length_b 3.9131
_cell_length_c 5.4962
_cell_angle_alpha 90.00
_cell_angle_beta 90.00
_cell_angle_gamma 90.00
loop_
_atom_site_label
_atom_site_type_symbol
_atom_site_fract_x
_atom_site_fract_y
_atom_site_fract_z
Eu1 Eu 0.0000 0.0000 0.0000
```

---

Compound: Ba2Fe4AsP3
Source: the Alexandria database
Functional: GGA-PBE
Structure: relaxed

Results
Calculated density in Mg/m³: 6.0
M_tot in μB per formula unit: 0.0

The structure in CIF format:
```
data_Ba2Fe4AsP3
_chemical_formula_sum 'Ba4 Fe8 As2 P6'
_space_group_name_H-M_alt 'A m m 2'
_space_group_IT_number 38
_cell_length_a 5.4594
_cell_length_b 5.4667
_cell_length_c 12.4058
_cell_angle_alpha 90.00
_cell_angle_beta 90.00
_cell_angle_gamma 90.00
loop_
_space_group_symop_operation_xyz
'x,y,z'
'-x,-y,z'
'-x,y,z'
'x,-y,z'
'x,y+1/2,z+1/2'
'-x,-y+1/2,z+1/2'
'-x,y+1/2,z+1/2'
'x,-y+1/2,z+1/2'
loop_
_atom_site_label
_atom_site_type_symbol
_atom_site_fract_x
_atom_site_fract_y
_atom_site_fract_z
Ba1 Ba 0.0000 0.0000 0.0000
Ba2 Ba 0.5000 0.0000 0.4986
Fe1 Fe 0.2538 0.2464 0.7440
As1 As 0.0000 0.0000 0.3442
P1 P 0.0000 0.0000 0.6591
P2 P 0.5000 0.0000 0.1581
P3 P 0.5000 0.0000 0.8334
```

---

Compound: YGePb3
Source: the Alexandria database
Functional: GGA-PBE
Structure: relaxed

Results
Relative energy among the computed polymorphs in kJ per mole of atoms: 0.0
Calculated density in Mg/m³: 7.8
M_tot in μB per formula unit: 0.0

The structure in CIF format:
```
data_YGePb3
_chemical_formula_sum 'Y1 Ge1 Pb3'
_space_group_name_H-M_alt 'P m -3 m'
_space_group_IT_number 221
_space_group_name_Hall '-P 4 2 3'
_cell_length_a 5.5003
_cell_length_b 5.5003
_cell_length_c 5.5003
_cell_angle_alpha 90.00
_cell_angle_beta 90.00
_cell_angle_gamma 90.00
loop_
_atom_site_label
_atom_site_type_symbol
_atom_site_fract_x
_atom_site_fract_y
_atom_site_fract_z
Y1 Y 0.0000 0.0000 0.0000
Ge1 Ge 0.5000 0.5000 0.5000
Pb1 Pb 0.0000 0.5000 0.5000
```

---

Compound: MgFeCo2
Source: the Alexandria database
Functional: GGA-PBE
Structure: relaxed

Results
Calculated density in Mg/m³: 6.4
M_tot in μB per formula unit: 5.5

The structure in CIF format:
```
data_MgFeCo2
_chemical_formula_sum 'Mg3 Fe3 Co6'
_space_group_name_H-M_alt 'R -3 m'
_space_group_IT_number 166
_space_group_name_Hall '-R 3 2"'
_cell_length_a 2.6876
_cell_length_b 2.6876
_cell_length_c 24.6926
_cell_angle_alpha 90.00
_cell_angle_beta 90.00
_cell_angle_gamma 120.00
loop_
_atom_site_label
_atom_site_type_symbol
_atom_site_fract_x
_atom_site_fract_y
_atom_site_fract_z
Mg1 Mg 0.0000 0.0000 0.0000
Fe1 Fe 0.0000 0.0000 0.5000
Co1 Co 0.0000 0.0000 0.2431
```

---

Compound: Ba2LiTe2I2
Source: the Alexandria database
Functional: GGA-PBE
Structure: relaxed

Results
Calculated density in Mg/m³: 4.9
M_tot in μB per formula unit: 0.0

The structure in CIF format:
```
data_Ba2LiTe2I2
_chemical_formula_sum 'Ba4 Li2 Te4 I4'
_space_group_name_H-M_alt 'I 4/m m m'
_space_group_IT_number 139
_space_group_name_Hall '-I 4 2'
_cell_length_a 5.3293
_cell_length_b 5.3293
_cell_length_c 18.9552
_cell_angle_alpha 90.00
_cell_angle_beta 90.00
_cell_angle_gamma 90.00
loop_
_atom_site_label
_atom_site_type_symbol
_atom_site_fract_x
_atom_site_fract_y
_atom_site_fract_z
Ba1 Ba 0.0000 0.0000 0.1266
Li1 Li 0.0000 0.0000 0.5000
Te1 Te 0.0000 0.5000 0.0000
I1 I 0.0000 0.0000 0.3149
```

---

Compound: MoH2Rh
Source: the Alexandria database
Functional: GGA-PBE
Structure: relaxed

Results
Relative energy among the computed polymorphs in kJ per mole of atoms: 0.0
Calculated density in Mg/m³: 9.8
M_tot in μB per formula unit: 0.0

The structure in CIF format:
```
data_MoH2Rh
_chemical_formula_sum 'Mo4 H8 Rh4'
_space_group_name_H-M_alt 'P 1 21/c 1'
_space_group_IT_number 14
_cell_length_a 5.8081
_cell_length_b 5.0281
_cell_length_c 4.6448
_cell_angle_alpha 90.00
_cell_angle_beta 90.00
_cell_angle_gamma 90.00
loop_
_space_group_symop_operation_xyz
'x,y,z'
'-x,-y,-z'
'-x,y+1/2,-z+1/2'
'x,-y+1/2,z+1/2'
loop_
_atom_site_label
_atom_site_type_symbol
_atom_site_fract_x
_atom_site_fract_y
_atom_site_fract_z
Mo1 Mo 0.1278 0.0809 0.2500
H1 H 0.1011 0.7500 0.0004
H2 H 0.3911 0.2481 0.9979
Rh1 Rh 0.3716 0.5784 0.2499
```

---

Compound: Rb6InSe4
Source: the Alexandria database
Functional: GGA-PBE
Structure: relaxed

Results
Calculated density in Mg/m³: 3.5
M_tot in μB per formula unit: 0.0

The structure in CIF format:
```
data_Rb6InSe4
_chemical_formula_sum 'Rb12 In2 Se8'
_space_group_name_H-M_alt 'P 63 m c'
_space_group_IT_number 186
_space_group_name_Hall 'P 6c -2c'
_cell_length_a 11.0343
_cell_length_b 11.0343
_cell_length_c 8.4151
_cell_angle_alpha 90.00
_cell_angle_beta 90.00
_cell_angle_gamma 120.00
loop_
_atom_site_label
_atom_site_type_symbol
_atom_site_fract_x
_atom_site_fract_y
_atom_site_fract_z
Rb1 Rb 0.0588 0.5294 0.0000
Rb2 Rb 0.1433 0.2866 0.3252
In1 In 0.3333 0.6667 0.6176
Se1 Se 0.1948 0.3896 0.7176
Se2 Se 0.3333 0.6667 0.2869
```

---

Compound: TbHfSc2
Source: the Alexandria database
Functional: GGA-PBE
Structure: relaxed

Results
Relative energy among the computed polymorphs in kJ per mole of atoms: 9.0
Calculated density in Mg/m³: 6.9
M_tot in μB per formula unit: 0.0

The structure in CIF format:
```
data_TbHfSc2
_chemical_formula_sum 'Tb1 Hf1 Sc2'
_space_group_name_H-M_alt 'P 4/m m m'
_space_group_IT_number 123
_space_group_name_Hall '-P 4 2'
_cell_length_a 3.7683
_cell_length_b 3.7683
_cell_length_c 7.2259
_cell_angle_alpha 90.00
_cell_angle_beta 90.00
_cell_angle_gamma 90.00
loop_
_atom_site_label
_atom_site_type_symbol
_atom_site_fract_x
_atom_site_fract_y
_atom_site_fract_z
Tb1 Tb 0.0000 0.0000 0.0000
Hf1 Hf 0.0000 0.0000 0.5000
Sc1 Sc 0.5000 0.5000 0.2824
```

---

We obtain raw total energy values of -10.27 -6.60 -4.06 -5.86 -3.57 -6.31 -3.04 -6.67 eV/atom for the records listed above, in that order.